[1]
Density functional theory data (PBE) for Li4Ho3HfSe8 after structural relaxation.

Properties
D(E_F), states/eV/atom: 0.24
Energy, eV per atom: -5.27
Total moment, μB per formula unit: 0.0

The structure in POSCAR format:
```
Li4Ho3HfSe8
1.0
-2.5330 -6.1425 -4.3549
-0.0765 -4.5801 6.5047
-4.0216 6.8501 -0.0768
Li Ho Hf Se
4 3 1 8
Direct
0.5000 0.0000 0.0000 Li
0.5000 0.0000 0.5000 Li
0.0000 0.0000 0.0000 Li
0.0000 0.0000 0.5000 Li
0.5000 0.5000 0.0000 Ho
0.5000 0.5000 0.5000 Ho
0.0000 0.5000 0.5000 Ho
0.0000 0.5000 0.0000 Hf
0.2435 0.7504 0.0071 Se
0.2436 0.7505 0.4871 Se
0.2476 0.2430 0.4952 Se
0.7635 0.7504 0.0071 Se
0.2365 0.2496 0.9929 Se
0.7524 0.7570 0.5048 Se
0.7564 0.2495 0.5129 Se
0.7565 0.2496 0.9929 Se
```

[2]
Density functional theory data (PBE) for LaTb3Er2Se6 after structural relaxation.

Properties
D(E_F), states/eV/atom: 0.48
Energy, eV per atom: -5.85
Total moment, μB per formula unit: 0.0

The structure in POSCAR format:
```
LaTb3Er2Se6
1.0
-5.9202 2.1253 3.3749
2.6225 -6.5450 1.1141
4.8344 3.8384 3.5465
La Tb Er Se
1 3 2 6
Direct
0.0000 0.0000 0.0000 La
0.1587 0.8413 0.5000 Tb
0.8413 0.1587 0.5000 Tb
0.5000 0.5000 0.5000 Tb
0.3333 0.6667 0.0000 Er
0.6667 0.3333 0.0000 Er
0.9155 0.5680 0.7460 Se
0.7348 0.7348 0.2465 Se
0.0845 0.4320 0.2540 Se
0.5680 0.9155 0.7460 Se
0.2652 0.2652 0.7535 Se
0.4320 0.0845 0.2540 Se
```

[3]
Density functional theory data (PBE) for Pu3As2N2 after structural relaxation.

Properties
D(E_F), states/eV/atom: 3.29
Energy, eV per atom: -10.92
Total moment, μB per formula unit: 12.2

The structure in POSCAR format:
```
Pu3As2N2
1.0
3.6843 -0.0013 1.1116
0.4677 6.6713 -1.5423
0.1551 -2.4730 6.1444
Pu As N
3 2 2
Direct
0.0000 0.0000 0.0000 Pu
0.1903 0.3630 0.6194 Pu
0.8097 0.6370 0.3806 Pu
0.4360 0.7818 0.1281 As
0.5640 0.2182 0.8719 As
0.2001 0.6859 0.5998 N
0.7999 0.3141 0.4002 N
```

[4]
Density functional theory data (PBE) for BaNaBe2F8 after structural relaxation.

Properties
D(E_F), states/eV/atom: 1.06
Energy, eV per atom: -5.18
Total moment, μB per formula unit: 1.1

The structure in POSCAR format:
```
BaNaBe2F8
1.0
4.9055 -0.2451 0.0301
2.0454 4.4654 0.0301
0.4024 0.2443 8.1031
Ba Na Be F
1 1 2 8
Direct
0.0000 0.0000 0.5000 Ba
0.0000 0.0000 0.0000 Na
0.6058 0.6058 0.2336 Be
0.3942 0.3942 0.7664 Be
0.7326 0.2600 0.7750 F
0.7271 0.7271 0.0769 F
0.6862 0.6862 0.4055 F
0.3138 0.3138 0.5945 F
0.2729 0.2729 0.9231 F
0.2600 0.7326 0.7750 F
0.7400 0.2674 0.2250 F
0.2674 0.7400 0.2250 F
```

[5]
Density functional theory data (PBE) for Cr2SiRu after structural relaxation.

Properties
D(E_F), states/eV/atom: 0.69
Energy, eV per atom: -8.79
Total moment, μB per formula unit: 0.0

The structure in POSCAR format:
```
Cr2SiRu
1.0
-4.5854 0.6205 1.5058
-3.3532 -3.3383 -1.1359
4.2826 0.7656 2.1798
Ru Si Cr
1 1 2
Direct
0.7500 0.2500 0.5000 Ru
0.2500 0.7500 0.5000 Si
0.0050 0.0050 0.0000 Cr
0.4950 0.4950 0.0000 Cr
```

[6]
Density functional theory data (PBE) for Mn2AgP after structural relaxation.

Properties
Energy of formation, meV per atom: 215.0
D(E_F), states/eV/atom: 0.90
Energy, eV per atom: -6.44
Total moment, μB per formula unit: 7.5

The structure in POSCAR format:
```
Mn2AgP
1.0
-3.4388 -1.9830 1.2048
2.1092 -3.5680 0.1474
0.8145 0.6197 3.3448
Ag Mn P
1 2 1
Direct
0.0000 0.5000 0.5000 Ag
0.0000 0.0000 0.0000 Mn
0.5000 0.5000 0.0000 Mn
0.5000 0.0000 0.5000 P
```